Arrangement A

## YTaAl2 (PBEsol)

Data for a relaxed YTaAl2 crystal.

a b c (Å): 2.9685 5.1461 5.1461
angles (deg): 107.74 90.00 90.00
With the nearest neighbours (Å) after each atom.
Fractional coordinates of all 4 atoms:
Y (0.5000, 0.5000, 0.5000)  2 Y 2.97, 8 Al 2.97, 2 Ta 3.03
Ta (0.5000, 0.0000, 0.0000)  2 Ta 2.97, 8 Al 2.97, 2 Y 3.03
Al (0.0000, 0.5000, 0.0000)  4 Al 2.97-3.03, 4 Ta 2.97, 4 Y 2.97
Al (0.0000, 0.0000, 0.5000)  4 Al 2.97-3.03, 4 Y 2.97, 4 Ta 2.97

Values from the calculation:
* DOS at the Fermi energy: 0.648 states/eV per atom

***

Arrangement B

## YTaAl2 (PBEsol)

Data for a relaxed YTaAl2 crystal.

a b c (Å): 3.4734 3.4734 6.3902
angles (deg): 90.00 90.00 90.00
With the nearest neighbours (Å) after each atom.
Fractional coordinates of all 4 atoms:
Al (0.0000, 0.0000, 0.2030)  1 Al 2.59, 4 Ta 2.78
Al (0.0000, 0.0000, 0.7970)  1 Al 2.59, 4 Ta 2.78
Ta (0.5000, 0.5000, 0.0000)  8 Al 2.78
Y (0.5000, 0.5000, 0.5000)  8 Al 3.10, 2 Ta 3.20, 4 Y 3.47

Values from the calculation:
* DOS at the Fermi energy: 0.452 states/eV per atom

***

Stability, lowest: arrangement A